Density functional theory data (PBE) for ScCu2Os after structural relaxation.

Unit cell a=3.297 b=3.297 c=5.413 alpha=90.00 beta=90.00 gamma=90.00
Atoms (fractional coordinates):
Os1 0.500 0.500 0.250
Cu1 0.000 0.000 0.020
Cu2 0.000 0.000 0.480
Sc1 0.500 0.500 0.750

Results
Its formation energy is 30 kJ/mol of formula units. The calculation puts the magnetization at 0.00 μB/f.u. For the density of states at the Fermi level, the calculation gives 0.604 states/eV/atom.